# 1
A plane-wave DFT calculation with PBE-GGA was carried out for a relaxed structure of NaCeTl2.

```
NaCeTl2
1.0
5.4254 0.0000 0.0000
2.7127 4.6985 0.0000
2.7127 1.5662 4.4298
Na Tl Ce
1 2 1
direct
0.0000 0.0000 0.0000
0.7500 0.7500 0.7500
0.2500 0.2500 0.2500
0.5000 0.5000 0.5000
```

The distance to the lowest polymorph of the same formula comes out at 0 meV/atom. As for the space group: Fm-3m (225).

---

# 2
A plane-wave DFT calculation with PBE-GGA was carried out for a relaxed structure of NaCeTl2.

```
NaCeTl2
1.0
-3.0843 -0.3243 1.4391
-1.2025 -3.1027 0.7847
3.2127 -0.3820 10.8608
Na Tl Ce
1 2 1
direct
0.5000 0.5000 0.5000
0.7519 0.7519 0.7443
0.2481 0.2481 0.2557
0.0000 0.0000 0.0000
```

The distance to the lowest polymorph of the same formula comes out at 121 meV/atom. As for the space group: R-3m (166).

---

# 3
A plane-wave DFT calculation with PBE-GGA was carried out for a relaxed structure of NaCeTl.

```
NaCeTl
1.0
-0.3690 -1.6609 2.8379
5.3043 0.5412 1.0065
-3.4916 3.7664 1.7504
Na Tl Ce
1 1 1
direct
0.8334 0.0000 0.0000
0.8336 0.6667 0.3333
0.3329 0.3333 0.6667
```

The distance to the lowest polymorph of the same formula comes out at 0 meV/atom. As for the space group: P-6m2 (187).

---

# 4
A plane-wave DFT calculation with PBE-GGA was carried out for a relaxed structure of NaCeTl2.

```
NaCeTl2
1.0
-1.9570 2.2567 2.4272
1.9097 -2.9080 4.2434
4.3219 3.3619 0.3590
Na Tl Ce
1 2 1
direct
0.5000 0.0000 0.0000
0.0000 0.0000 0.5000
0.0000 0.5000 0.0000
0.5000 0.5000 0.5000
```

The distance to the lowest polymorph of the same formula comes out at 6 meV/atom. As for the space group: P4/mmm (123).

---

# 5
A plane-wave DFT calculation with PBE-GGA was carried out for a relaxed structure of Na5CeTl6.

```
Na5CeTl6
1.0
-3.7196 -3.5086 -1.8758
-3.9113 0.6542 6.5315
-7.9274 4.9412 -0.7733
Na Tl Ce
5 6 1
direct
0.6330 0.1727 0.6545
0.3772 0.3374 0.3252
0.0000 0.5000 0.0000
0.6228 0.6626 0.6748
0.3670 0.8273 0.3455
0.8811 0.5915 0.3349
0.8812 0.0736 0.3349
0.5000 0.7565 0.9999
0.5000 0.2435 0.0001
0.1188 0.9264 0.6651
0.1189 0.4085 0.6651
0.0000 0.0000 0.0000
```

For the calculated total energy, the calculation gives -2.343 eV/atom. As for the space group: C2/m (12).

---

# 6
A plane-wave DFT calculation with PBE-GGA was carried out for a relaxed structure of NaCe2Tl.

```
NaCe2Tl
1.0
3.2657 0.0000 0.0000
1.6328 2.8282 0.0000
1.6328 0.9427 12.6624
Na Tl Ce
1 1 2
direct
0.0000 0.0000 0.0000
0.5000 0.5000 0.5000
0.0920 0.0920 0.7241
0.9080 0.9080 0.2759
```

The distance to the lowest polymorph of the same formula comes out at 63 meV/atom. As for the space group: R-3m (166).

---

# 7
A plane-wave DFT calculation with PBE-GGA was carried out for a relaxed structure of Na2CeTl.

```
Na2CeTl
1.0
-0.6905 3.1557 -0.7937
-1.1140 0.7436 -3.0449
-12.4866 -0.3058 2.6766
Na Tl Ce
2 1 1
direct
0.0907 0.0907 0.7279
0.9093 0.9093 0.2721
0.5000 0.5000 0.5000
0.0000 0.0000 0.0000
```

For the calculated total energy, the calculation gives -2.559 eV/atom. As for the space group: R-3m (166).

---

# 8
A plane-wave DFT calculation with PBE-GGA was carried out for a relaxed structure of NaCe3Tl5.

```
NaCe3Tl5
1.0
-2.5047 -5.9264 -1.7061
2.6380 1.4772 -9.0040
5.9515 -4.2584 6.0547
Na Ce Tl
2 6 10
direct
0.0000 0.0000 0.0000
0.5000 0.0000 0.0000
0.7500 0.3605 0.0000
0.7500 0.6395 0.6395
0.7500 0.0000 0.3605
0.2500 0.6395 0.0000
0.2500 0.3605 0.3605
0.2500 0.0000 0.6395
0.0000 0.3333 0.6667
0.5000 0.6667 0.3333
0.0000 0.6667 0.3333
0.5000 0.3333 0.6667
0.7500 0.6949 0.0000
0.7500 0.3051 0.3051
0.7500 0.0000 0.6949
0.2500 0.3051 0.0000
0.2500 0.6949 0.6949
0.2500 0.0000 0.3051
```

For the calculated total energy, the calculation gives -3.612 eV/atom. As for the space group: P6_3/mcm (193).

---

# 9
A plane-wave DFT calculation with PBE-GGA was carried out for a relaxed structure of NaCeTl.

```
NaCeTl
1.0
3.3917 0.0000 0.0000
0.0000 3.3917 0.0000
-1.6958 -1.6958 7.8058
Na Tl Ce
1 1 1
direct
0.6002 0.6002 0.2004
0.9505 0.9505 0.9010
0.2993 0.2993 0.5986
```

The distance to the lowest polymorph of the same formula comes out at 44 meV/atom. As for the space group: I4mm (107).

---

# 10
A plane-wave DFT calculation with PBE-GGA was carried out for a relaxed structure of Na3Ce2Tl4.

```
Na3Ce2Tl4
1.0
2.6981 4.6805 -0.1540
-2.6981 4.6805 -0.1540
0.0000 0.3861 10.3804
Na Ce Tl
3 2 4
direct
0.3344 0.3344 0.5654
0.0000 0.0000 0.0000
0.6656 0.6656 0.4346
0.3324 0.3324 0.1986
0.6676 0.6676 0.8014
0.6659 0.6659 0.1161
0.0014 0.0014 0.6654
0.9986 0.9986 0.3346
0.3341 0.3341 0.8839
```

For the calculated total energy, the calculation gives -2.915 eV/atom. As for the space group: C2/m (12).

---

# 11
A plane-wave DFT calculation with PBE-GGA was carried out for a relaxed structure of NaCe5Tl6.

```
NaCe5Tl6
1.0
-4.2183 -2.5257 -0.9025
-0.3819 -2.4861 8.7431
-6.1335 4.9038 1.1265
Na Tl Ce
1 6 5
direct
0.0000 0.0000 0.0000
0.8345 0.7520 0.3321
0.8345 0.2480 0.3321
0.5000 0.2448 0.0000
0.5000 0.7552 0.0000
0.1655 0.7520 0.6679
0.1655 0.2480 0.6679
0.6653 0.5000 0.6680
0.3338 0.0000 0.3337
0.0000 0.5000 0.0000
0.6662 0.0000 0.6663
0.3347 0.5000 0.3320
```

For the calculated total energy, the calculation gives -3.962 eV/atom. As for the space group: Cmmm (65).

---

# 12
A plane-wave DFT calculation with PBE-GGA was carried out for a relaxed structure of NaCe2Tl6.

```
NaCe2Tl6
1.0
-1.3689 -1.0908 -2.9439
3.1441 -8.6755 1.7524
-9.8607 1.5192 0.0414
Na Ce Tl
1 2 6
direct
0.0000 0.0000 0.0000
0.6659 0.6674 0.3347
0.3341 0.3326 0.6653
0.1622 0.3337 0.3336
0.8378 0.0001 0.6664
0.8378 0.6663 0.6664
0.5000 0.3348 0.0000
0.1622 0.9999 0.3336
0.5000 0.6652 0.0000
```

For the calculated total energy, the calculation gives -3.213 eV/atom. As for the space group: C2/m (12).

---

# 13
A plane-wave DFT calculation with PBE-GGA was carried out for a relaxed structure of NaCeTl4.

```
NaCeTl4
1.0
3.5096 0.0012 -0.7824
-0.0034 5.2157 -0.0063
-1.7599 0.0072 9.9049
Na Ce Tl
1 1 4
direct
0.0036 0.9972 0.5007
0.4974 0.4973 0.9955
0.2957 0.9973 0.1654
0.7285 0.9973 0.8341
0.7620 0.4973 0.6604
0.2207 0.4973 0.3326
```

The distance to the lowest polymorph of the same formula comes out at 0 meV/atom. As for the space group: Pm (6).

---

# 14
A plane-wave DFT calculation with PBE-GGA was carried out for a relaxed structure of NaCeTm.

```
NaCeTm
1.0
-1.8548 -3.1530 1.2928
2.0674 0.1289 3.2806
-9.1028 7.5845 5.4384
Tm Na Ce
2 2 2
direct
0.5000 0.0000 0.2272
0.0000 0.5000 0.7728
0.5000 0.0000 0.5836
0.0000 0.5000 0.4164
0.5000 0.5000 0.0000
0.0000 0.0000 0.0000
```

For the calculated total energy, the calculation gives -3.435 eV/atom. As for the space group: P4/nmm (129).

---

# 15
A plane-wave DFT calculation with PBE-GGA was carried out for a relaxed structure of NaCeY.

```
NaCeY
1.0
-3.2007 -1.1405 1.8343
0.8295 -3.6767 -0.8386
6.9720 -1.0524 11.5114
Y Na Ce
2 2 2
direct
0.5000 0.0000 0.2268
0.0000 0.5000 0.7732
0.5000 0.0000 0.5850
0.0000 0.5000 0.4150
0.5000 0.5000 0.0000
0.0000 0.0000 0.0000
```

For the calculated total energy, the calculation gives -4.139 eV/atom. As for the space group: P4/nmm (129).

---

# 16
A plane-wave DFT calculation with PBE-GGA was carried out for a relaxed structure of NaCe2Zn.

```
NaCe2Zn
1.0
-2.3256 -0.9821 -1.7970
0.6014 -1.2114 -2.7880
0.2435 -11.7613 3.4409
Na Zn Ce
1 1 2
direct
0.0000 0.0000 0.0000
0.5000 0.5000 0.5000
0.0956 0.0956 0.7132
0.9044 0.9044 0.2868
```

For the calculated total energy, the calculation gives -3.466 eV/atom. As for the space group: R-3m (166).

---

# 17
A plane-wave DFT calculation with PBE-GGA was carried out for a relaxed structure of NaCeZn10.

```
NaCeZn10
1.0
-2.7985 -0.0243 -3.2558
3.5961 -2.3642 -3.0734
-3.1323 -8.3457 2.7548
Na Ce Zn
1 1 10
direct
0.0000 0.5000 0.5000
0.0000 0.0000 0.0000
0.0000 0.0000 0.3427
0.0000 0.5000 0.8175
0.0000 0.5000 0.1825
0.0000 0.0000 0.6573
0.5000 0.0000 0.5000
0.5000 0.5000 0.0000
0.5000 0.2402 0.2372
0.5000 0.7598 0.7628
0.5000 0.7598 0.2372
0.5000 0.2402 0.7628
```

For the calculated total energy, the calculation gives -1.808 eV/atom. As for the space group: Pmmm (47).

---

# 18
A plane-wave DFT calculation with PBE-GGA was carried out for a relaxed structure of NaCeZn4.

```
NaCeZn4
1.0
-4.1320 2.3293 2.7427
-5.0327 0.0663 -2.1654
-3.9541 -3.1162 2.1624
Na Zn Ce
1 4 1
direct
0.2500 0.2500 0.2500
0.6253 0.6253 0.1241
0.6253 0.1241 0.6253
0.6253 0.6253 0.6253
0.1241 0.6253 0.6253
0.0000 0.0000 0.0000
```

For the calculated total energy, the calculation gives -2.161 eV/atom. As for the space group: F-43m (216).

---

# 19
A plane-wave DFT calculation with PBE-GGA was carried out for a relaxed structure of NaCeZn.

```
NaCeZn
1.0
5.4445 0.6293 1.0488
3.4778 4.3455 0.4120
2.2165 0.0193 7.4636
Na Zn Ce
2 2 2
direct
0.0798 0.3245 0.1588
0.2502 0.6458 0.3097
0.4288 0.0132 0.4986
0.7981 0.6526 0.7688
0.5873 0.3461 0.6727
0.9937 0.9704 0.8911
```

For the calculated total energy, the calculation gives -2.785 eV/atom. As for the space group: Cm (8).

---

# 20
A plane-wave DFT calculation with PBE-GGA was carried out for a relaxed structure of NaCe2Zn9.

```
NaCe2Zn9
1.0
-4.1992 -0.1941 -3.4506
-4.8863 -1.6223 1.7518
-5.0698 7.7196 1.4496
Na Ce Zn
1 2 9
direct
0.0000 0.0000 0.0000
0.8512 0.8512 0.4463
0.1488 0.1488 0.5537
0.6648 0.6648 0.0055
0.3352 0.3352 0.9945
0.5000 0.5000 0.5000
0.4169 0.4169 0.2445
0.9216 0.4169 0.2445
0.4169 0.9216 0.2445
0.5831 0.5831 0.7555
0.5831 0.0784 0.7555
0.0784 0.5831 0.7555
```

For the calculated total energy, the calculation gives -2.189 eV/atom. As for the space group: R-3m (166).

---

Number 1: total magnetization 1.0 μB per formula unit, density 8.4 g/cm3. Number 2: total magnetization 0.9 μB per formula unit, density 8.4 g/cm3. Number 3: total magnetization 1.3 μB per formula unit, density 7.2 g/cm3. Number 4: total magnetization 1.2 μB per formula unit, density 8.2 g/cm3. Number 5: total magnetization 1.0 μB per formula unit, density 7.2 g/cm3. Number 6: total magnetization 1.3 μB per formula unit, density 7.2 g/cm3. Number 7: total magnetization 1.0 μB per formula unit, density 5.4 g/cm3. Number 8: total magnetization 3.1 μB per formula unit, density 9.4 g/cm3. Number 9: total magnetization 1.4 μB per formula unit, density 6.8 g/cm3. Number 10: total magnetization 2.1 μB per formula unit, density 7.4 g/cm3. Number 11: total magnetization 6.0 μB per formula unit, density 9.5 g/cm3. Number 12: total magnetization 2.6 μB per formula unit, density 9.7 g/cm3. Number 13: total magnetization 1.3 μB per formula unit, density 9.4 g/cm3. Number 14: total magnetization 0.9 μB per formula unit, density 5.6 g/cm3. Number 15: total magnetization 0.9 μB per formula unit, density 4.2 g/cm3. Number 16: total magnetization 0.0 μB per formula unit, density 6.1 g/cm3. Number 17: total magnetization 0.7 μB per formula unit, density 6.4 g/cm3. Number 18: total magnetization 0.6 μB per formula unit, density 6.1 g/cm3. Number 19: total magnetization 0.5 μB per formula unit, density 5.0 g/cm3. Number 20: total magnetization 1.2 μB per formula unit, density 6.6 g/cm3.